Record 1
VASP calculation (GGA-PBE) on a relaxed structure of AcPaPb.

Values from the calculation:
excess energy over the best structure of this formula in the dataset = 0.00 eV/f.u.
space-group type = F-43m (216)

Cell lengths 5.445, 5.445, 5.445 Å; angles 60.00, 60.00, 60.00 degrees
Last column: magnetic moment on the atom in μB.
Sites, in units of the cell vectors:
1 Pb 0.000 0.000 0.000  -0.04
2 Pa 0.750 0.750 0.750  1.48
3 Ac 0.250 0.250 0.250  0.17

***

Record 2
VASP calculation (GGA-PBE) on a relaxed structure of AcPaPd.

Values from the calculation:
energy of formation from the pure elements = 178.6 meV/atom
space-group type = F-43m (216)

Cell lengths 5.076, 5.076, 5.076 Å; angles 60.00, 60.00, 60.00 degrees
Last column: magnetic moment on the atom in μB.
Sites, in units of the cell vectors:
1 Pa 0.750 0.750 0.750  1.43
2 Pd 0.000 0.000 0.000  0.04
3 Ac 0.250 0.250 0.250  0.20

***

Record 3
VASP calculation (GGA-PBE) on a relaxed structure of AcPmPa.

Values from the calculation:
energy of formation from the pure elements = 1094.7 meV/atom
excess energy over the best structure of this formula in the dataset = 0.00 eV/f.u.
space-group type = F-43m (216)

Cell lengths 5.438, 5.438, 5.438 Å; angles 60.00, 60.00, 60.00 degrees
Sites, in units of the cell vectors:
1 Pa 0.750 0.750 0.750
2 Ac 0.250 0.250 0.250
3 Pm 0.000 0.000 0.000

***

Record 4
VASP calculation (GGA-PBE) on a relaxed structure of AcPaPt.

Values from the calculation:
energy of formation from the pure elements = -149.7 meV/atom
space-group type = F-43m (216)

Cell lengths 5.073, 5.073, 5.073 Å; angles 60.00, 60.00, 60.00 degrees
Sites, in units of the cell vectors:
1 Pt 0.000 0.000 0.000
2 Ac 0.250 0.250 0.250
3 Pa 0.750 0.750 0.750

***

Record 5
VASP calculation (GGA-PBE) on a relaxed structure of AcPuPa.

Values from the calculation:
energy of formation from the pure elements = 801.3 meV/atom
space-group type = F-43m (216)

Cell lengths 5.181, 5.181, 5.181 Å; angles 60.00, 60.00, 60.00 degrees
Last column: magnetic moment on the atom in μB.
Sites, in units of the cell vectors:
1 Pa 0.250 0.250 0.250  1.34
2 Pu 0.000 0.000 0.000  5.79
3 Ac 0.750 0.750 0.750  0.23

***

Record 6
VASP calculation (GGA-PBE) on a relaxed structure of Ac5Pa2Se12.

Values from the calculation:
space-group type = C2/m (12)
raw total energy = -6.08 eV/atom

Cell lengths 9.418, 9.418, 9.896 Å; angles 105.77, 105.77, 50.67 degrees
Last column: magnetic moment on the atom in μB.
Sites, in units of the cell vectors:
1 Se 0.503 0.503 0.208  -0.01
2 Se 0.102 0.599 0.431  0.00
3 Se 0.904 0.436 0.086  -0.01
4 Se 0.599 0.102 0.431  0.00
5 Se 0.564 0.096 0.914  -0.01
6 Se 0.001 0.001 0.809  -0.01
7 Se 0.999 0.999 0.191  -0.01
8 Se 0.096 0.564 0.914  -0.01
9 Se 0.898 0.401 0.569  0.00
10 Se 0.436 0.904 0.086  -0.01
11 Se 0.401 0.898 0.569  0.00
12 Se 0.497 0.497 0.792  -0.01
13 Ac 0.689 0.689 0.827  0.00
14 Ac 0.311 0.311 0.173  0.00
15 Ac 0.297 0.297 0.639  0.00
16 Ac 0.703 0.703 0.361  0.00
17 Ac 0.000 0.000 0.500  0.00
18 Pa 0.748 0.252 0.000  0.52
19 Pa 0.252 0.748 0.000  0.52

***

Record 7
VASP calculation (GGA-PBE) on a relaxed structure of AcPaSi.

Values from the calculation:
space-group type = F-43m (216)
raw total energy = -6.17 eV/atom

Cell lengths 5.014, 5.014, 5.014 Å; angles 60.00, 60.00, 60.00 degrees
Sites, in units of the cell vectors:
1 Pa 0.750 0.750 0.750
2 Ac 0.250 0.250 0.250
3 Si 0.000 0.000 0.000

***

Record 8
VASP calculation (GGA-PBE) on a relaxed structure of AcPaTl.

Values from the calculation:
excess energy over the best structure of this formula in the dataset = 0.00 eV/f.u.
space-group type = F-43m (216)

Cell lengths 5.389, 5.389, 5.389 Å; angles 60.00, 60.00, 60.00 degrees
Sites, in units of the cell vectors:
1 Pa 0.750 0.750 0.750
2 Tl 0.000 0.000 0.000
3 Ac 0.250 0.250 0.250

***

Record 9
VASP calculation (GGA-PBE) on a relaxed structure of AcTmPa.

Values from the calculation:
energy of formation from the pure elements = 1078.8 meV/atom
excess energy over the best structure of this formula in the dataset = 0.00 eV/f.u.
space-group type = F-43m (216)

Cell lengths 5.401, 5.401, 5.401 Å; angles 60.00, 60.00, 60.00 degrees
Sites, in units of the cell vectors:
1 Ac 0.250 0.250 0.250
2 Tm 0.000 0.000 0.000
3 Pa 0.750 0.750 0.750

***

Record 10
VASP calculation (GGA-PBE) on a relaxed structure of AcUPa.

Values from the calculation:
energy of formation from the pure elements = 1243.4 meV/atom
excess energy over the best structure of this formula in the dataset = 0.00 eV/f.u.
space-group type = F-43m (216)

Cell lengths 5.176, 5.176, 5.176 Å; angles 60.00, 60.00, 60.00 degrees
Sites, in units of the cell vectors:
1 Ac 0.250 0.250 0.250
2 U 0.000 0.000 0.000
3 Pa 0.750 0.750 0.750

***

Record 11
VASP calculation (GGA-PBE) on a relaxed structure of AcYPa.

Values from the calculation:
energy of formation from the pure elements = 1127.9 meV/atom
excess energy over the best structure of this formula in the dataset = 0.00 eV/f.u.
space-group type = F-43m (216)

Cell lengths 5.497, 5.497, 5.497 Å; angles 60.00, 60.00, 60.00 degrees
Sites, in units of the cell vectors:
1 Ac 0.250 0.250 0.250
2 Y 0.750 0.750 0.750
3 Pa 0.000 0.000 0.000

***

Record 12
VASP calculation (GGA-PBE) on a relaxed structure of AcPdPb.

Values from the calculation:
excess energy over the best structure of this formula in the dataset = 2.17 eV/f.u.
space-group type = F-43m (216)

Cell lengths 5.254, 5.254, 5.254 Å; angles 60.00, 60.00, 60.00 degrees
Sites, in units of the cell vectors:
1 Pd 0.750 0.750 0.750
2 Ac 0.000 0.000 0.000
3 Pb 0.250 0.250 0.250